Here is an optimized crystal structure of Tb2In3Ag from Alexandria via LeMat-Bulk. Energies are from PBE.

Values from the calculation:
- V: 24.81 Å³/atom
- E above lowest polymorph: 5 meV per atom
- Raw total energy: -3.808 eV per atom

Cell and atoms, written as POSCAR:
```
Tb2In3Ag
1.0
0.8323 -2.5167 -5.4570
4.0866 -2.4010 3.7868
-7.9444 -3.7094 2.8432
Ag In Tb
2 6 4
Cartesian
0.6191 -4.5285 -0.1613 Ag
-3.6446 -4.0986 1.3343 Ag
2.3214 -3.4818 1.7704 In
-3.7534 -5.0887 3.9291 In
-1.8548 -2.0858 0.6791 In
0.7279 -3.5384 -2.7561 In
-5.3469 -5.1453 -0.5974 In
-1.1707 -6.5413 0.4940 In
-2.3263 -4.3424 -1.7244 Tb
1.2440 -1.2437 -0.4224 Tb
3.6748 -3.6740 -1.2478 Tb
-0.6992 -4.2846 2.8975 Tb
```

Here is an optimized crystal structure of Tb2In8Ag from Alexandria via LeMat-Bulk. Energies are from PBE.

Values from the calculation:
- V: 25.10 Å³/atom
- Raw total energy: -3.384 eV per atom

Cell and atoms, written as POSCAR:
```
Tb2In8Ag
1.0
4.7411 0.0000 0.0000
0.0000 4.7411 0.0000
0.0000 0.0000 12.2836
In Tb Ag
8 2 1
Cartesian
2.3705 2.3705 3.8384 In
0.0000 2.3705 1.6269 In
2.3705 2.3705 8.4452 In
0.0000 2.3705 10.6567 In
2.3705 0.0000 10.6567 In
2.3705 0.0000 1.6269 In
0.0000 2.3705 6.1418 In
2.3705 0.0000 6.1418 In
0.0000 0.0000 8.4412 Tb
0.0000 0.0000 3.8424 Tb
0.0000 0.0000 0.0000 Ag
```

Here is an optimized crystal structure of Tb6In2Ag from Alexandria via LeMat-Bulk. Energies are from PBE.

Values from the calculation:
- V: 28.27 Å³/atom
- Raw total energy: -4.280 eV per atom

Cell and atoms, written as POSCAR:
```
Tb6In2Ag
1.0
-0.7294 1.2625 -4.8636
5.5947 -7.7919 -2.8617
-8.1757 -5.7705 -0.2719
Tb In Ag
12 4 2
Cartesian
-2.0701 0.0496 -4.9771 Tb
4.0400 -5.8932 -4.7867 Tb
-3.2500 -7.0090 -3.9822 Tb
-7.3504 -6.4066 -3.2106 Tb
0.3609 -2.3824 -5.9729 Tb
-0.4722 -8.3108 -2.0872 Tb
-2.8382 -3.9890 -5.9100 Tb
-3.6713 -9.9175 -2.0244 Tb
-1.2403 -12.3494 -3.0201 Tb
-4.7721 -3.9354 -2.9559 Tb
1.4616 -8.3644 -5.0413 Tb
-0.0604 -5.2908 -4.0150 Tb
-5.5872 -5.6704 -5.9341 In
-1.6768 -2.6614 -3.0890 In
2.2768 -6.6295 -2.0631 In
-1.6336 -9.6385 -4.9082 In
-4.0879 -2.8852 -0.1360 Ag
2.4326 -3.2647 -3.8627 Ag
```

Here is an optimized crystal structure of TbIn2Ag9 from Alexandria via LeMat-Bulk. Energies are from PBE.

Values from the calculation:
- V: 20.66 Å³/atom
- Raw total energy: -3.021 eV per atom

Cell and atoms, written as POSCAR:
```
TbIn2Ag9
1.0
5.5828 0.0000 0.0000
2.7914 4.8349 0.0000
2.7914 1.6116 9.1871
Ag In Tb
9 2 1
Cartesian
5.5828 3.2232 4.5935 Ag
6.9941 4.0381 6.8523 Ag
6.9941 2.4084 2.3348 Ag
5.5828 3.2232 0.0078 Ag
5.5828 4.8529 2.3348 Ag
4.1715 4.0381 6.8523 Ag
5.5828 3.2232 9.1793 Ag
5.5828 1.5936 6.8523 Ag
4.1715 2.4084 2.3348 Ag
8.3742 4.8349 3.8959 In
2.7914 1.6116 5.2912 In
0.0000 0.0000 0.0000 Tb
```

Here is an optimized crystal structure of Tb3In3Ag2 from Alexandria via LeMat-Bulk. Energies are from PBE.

Values from the calculation:
- V: 24.29 Å³/atom
- E above lowest polymorph: 9 meV per atom
- Raw total energy: -3.867 eV per atom

Cell and atoms, written as POSCAR:
```
Tb3In3Ag2
1.0
4.6021 0.0000 0.0000
0.0000 4.8601 -0.2128
-2.3011 -2.0448 8.7774
In Tb Ag
3 3 2
Cartesian
0.0000 2.7067 6.1391 In
2.3011 2.4301 -0.1064 In
2.3011 0.1087 2.4255 In
0.0000 0.0000 0.0000 Tb
2.3011 0.2754 6.2283 Tb
0.0000 2.5400 2.3363 Tb
0.0000 0.1901 4.2553 Ag
2.3011 2.6252 4.3093 Ag
```

Here is an optimized crystal structure of TbIn2Ag3 from Alexandria via LeMat-Bulk. Energies are from PBE.

Values from the calculation:
- V: 21.97 Å³/atom
- Raw total energy: -3.333 eV per atom

Cell and atoms, written as POSCAR:
```
TbIn2Ag3
1.0
4.4925 0.0000 -1.2266
-0.4030 6.5309 -1.4759
0.0429 -0.1060 8.9977
Ag Tb In
6 2 4
Cartesian
2.6422 3.1683 0.8368 Ag
4.0727 2.1318 6.0763 Ag
2.7675 5.9681 1.2959 Ag
0.0598 4.2931 0.2189 Ag
1.4903 3.2566 5.4584 Ag
1.3649 0.4568 4.9993 Ag
0.4725 0.9862 1.7305 Tb
3.6600 5.4387 4.5647 Tb
2.1316 1.2201 7.8072 In
3.3327 2.1690 3.3660 In
0.7997 4.2559 2.9291 In
2.0009 5.2048 -1.5120 In
```

Here is an optimized crystal structure of Tb4InAg2 from Alexandria via LeMat-Bulk. Energies are from PBE.

Values from the calculation:
- V: 29.34 Å³/atom
- E above lowest polymorph: 130 meV per atom
- Raw total energy: -3.928 eV per atom

Cell and atoms, written as POSCAR:
```
Tb4InAg2
1.0
-4.5727 1.9404 0.7553
-3.2247 0.3977 -3.8325
-5.9238 -7.7981 0.8815
Tb Ag In
4 2 1
Cartesian
-8.0681 -5.8452 -0.4051 Tb
-9.8509 -2.9600 -1.8991 Tb
-3.8702 -2.5000 -0.2965 Tb
-5.6531 0.3852 -1.7905 Tb
-8.7977 -0.2426 -2.5034 Ag
-4.9235 -5.2174 0.3077 Ag
0.0000 0.0000 0.0000 In
```

Here is an optimized crystal structure of TbIn3Ag3 from Alexandria via LeMat-Bulk. Energies are from PBE.

Values from the calculation:
- V: 30.11 Å³/atom
- Raw total energy: -2.646 eV per atom

Cell and atoms, written as POSCAR:
```
TbIn3Ag3
1.0
-6.8563 2.9924 -0.5099
-1.4683 -2.1670 7.0264
2.6567 6.5248 2.5674
In Ag Tb
6 6 2
Cartesian
-5.8764 1.1608 3.1308 In
0.2271 1.6372 6.5535 In
-2.4482 -0.3354 3.3857 In
-2.7639 3.1274 0.3869 In
-1.4356 6.3898 1.6706 In
0.9613 2.7206 3.0403 In
-0.0700 0.5477 4.1551 Ag
-0.3857 4.0105 1.1562 Ag
-3.8138 5.5067 0.9013 Ag
-3.7952 0.9544 1.5016 Ag
-4.5294 -0.1290 5.0149 Ag
1.2584 3.8101 5.4388 Ag
0.0000 0.0000 0.0000 Tb
-2.8339 3.6751 4.5420 Tb
```

Here is an optimized crystal structure of Tb4InAg from Alexandria via LeMat-Bulk. Energies are from PBE.

Values from the calculation:
- V: 28.08 Å³/atom
- Raw total energy: -4.125 eV per atom

Cell and atoms, written as POSCAR:
```
Tb4InAg
1.0
6.0441 0.0000 -0.7783
0.0000 9.4484 0.0000
-1.1178 0.0000 6.0444
Tb Ag In
8 2 2
Cartesian
1.9608 3.1700 2.2003 Tb
4.5766 3.2151 4.7610 Tb
0.3496 6.2333 0.5051 Tb
2.9655 6.2784 3.0658 Tb
-0.0565 7.8942 3.4549 Tb
1.5546 1.5091 5.1502 Tb
3.3717 7.9393 0.1159 Tb
4.9828 1.5542 1.8112 Tb
-0.5589 4.7242 3.0222 Ag
2.4631 0.0000 2.6330 Ag
3.0220 4.7242 -0.3892 In
0.0000 0.0000 0.0000 In
```

Here is an optimized crystal structure of Tb5InAg from Alexandria via LeMat-Bulk. Energies are from PBE.

Values from the calculation:
- V: 30.16 Å³/atom
- Raw total energy: -4.159 eV per atom

Cell and atoms, written as POSCAR:
```
Tb5InAg
1.0
-6.0849 0.6182 -1.9415
0.5775 -5.5610 -3.1493
-3.4148 -5.2686 8.1178
Ag Tb In
2 10 2
Cartesian
0.0000 0.0000 0.0000 Ag
-1.7074 -2.6343 4.0589 Ag
-6.0261 -1.5452 -0.0775 Tb
-2.9780 -6.7771 -1.0088 Tb
-2.9005 -4.8083 2.2991 Tb
-2.8960 -8.6662 3.1044 Tb
-5.9441 -3.4343 4.0358 Tb
-8.3730 -5.9912 3.7186 Tb
-2.3999 -1.0547 -1.5411 Tb
-6.5222 -9.1567 4.5680 Tb
-6.0216 -5.4031 0.7279 Tb
-0.5491 -4.2202 -0.6917 Tb
-3.7494 -3.6569 -0.4902 In
-5.1728 -6.5546 3.5172 In
```

Here is an optimized crystal structure of Tb6InAg from Alexandria via LeMat-Bulk. Energies are from PBE.

Values from the calculation:
- V: 29.06 Å³/atom
- Raw total energy: -4.346 eV per atom

Cell and atoms, written as POSCAR:
```
Tb6InAg
1.0
-2.5375 2.5375 9.0277
2.5375 -2.5375 9.0277
2.5375 2.5375 -9.0277
Tb In Ag
6 1 1
Cartesian
2.5375 0.0000 2.0081 Tb
0.0000 0.0000 13.5340 Tb
0.0000 2.5375 7.0197 Tb
0.0000 2.5375 2.0081 Tb
0.0000 0.0000 4.5215 Tb
2.5375 0.0000 7.0197 Tb
0.0000 0.0000 9.0277 In
0.0000 0.0000 0.0000 Ag
```

Here is an optimized crystal structure of Tb3In3Ag from Alexandria via LeMat-Bulk. Energies are from PBE.

Values from the calculation:
- V: 26.84 Å³/atom
- Raw total energy: -3.973 eV per atom

Cell and atoms, written as POSCAR:
```
Tb3In3Ag
1.0
4.6072 0.0000 0.6940
2.2678 5.6468 0.5848
0.1752 0.1347 14.4767
Ag Tb In
2 6 6
Cartesian
3.7817 0.5835 6.1745 Ag
3.2685 5.1980 9.5810 Ag
3.7674 3.9366 6.2692 Tb
4.4168 4.0812 1.9579 Tb
2.6334 1.7002 13.7975 Tb
5.2358 4.4192 12.1607 Tb
1.8144 1.3622 3.5947 Tb
3.2828 1.8448 9.4862 Tb
6.3893 4.5502 4.5031 In
2.6087 4.8547 13.9614 In
5.7234 4.1572 8.9237 In
1.3268 1.6242 6.8317 In
0.6609 1.2312 11.2523 In
4.4415 0.9267 1.7941 In
```

no.,total magnetization (μB/f.u.),ρ (Mg/m³)
1,0.00,8.590
2,0.00,8.084
3,0.00,8.427
4,0.00,9.103
5,0.00,8.861
6,0.00,8.973
7,0.00,7.812
8,0.00,6.515
9,0.00,8.460
10,0.00,8.003
11,0.00,8.400
12,0.00,8.211